VASP calculation (PBE-GGA) on an optimized crystal structure of TbAl8Ni4.

Values from the calculation:
The value obtained for the formation energy is -0.5952 eV/atom. Its crystal system is tetragonal. For the calculated density, the calculation gives 5.36 g/cm³. As for the total energy: -5.033 eV per atom.

Cell: 8.5956 8.5956 5.1107 Å, 90.00 90.00 90.00°
Last column: nearest neighbours and their distance in Å.
Space group I4/mmm (No. 139)
Inequivalent atoms, fractional coordinates:
Tb  0.0000  0.0000  0.0000 x2  12 Al 2.96-3.19, 8 Ni 3.30
Al  0.0000  0.2225  0.5000 x8  4 Ni 2.51, 6 Al 2.70-2.76
Al  0.0000  0.3440  0.0000 x8  4 Ni 2.63, 5 Al 2.68-2.76
Ni  0.2500  0.2500  0.2500 x8  8 Al 2.51-2.63, 2 Ni 2.56